A plane-wave DFT calculation with GGA-PBE was carried out for a relaxed Li2Ac3AlGe6 crystal.

abc: 6.3091 6.3091 8.7643
angles: 90.00 90.00 120.00
Last column: nearest neighbours and their distance in Å.
Space group P-3m1 (No. 164)
Asymmetric unit:
Li: 0.3333 0.6667 0.0291  3 Ge 2.70
Ac: 0.0000 0.0000 0.0000  6 Ge 3.22
Ac: 0.3333 0.6667 0.6138  9 Ge 3.30-3.31, 1 Li 3.64
Al: 0.0000 0.0000 0.5000  6 Ge 2.83
Ge: 0.1905 0.3810 0.2805  1 Li 2.70, 2 Ge 2.70, 1 Al 2.83

Properties
* energy of formation from the pure elements: -0.40 eV per atom
* final energy: -4.366 eV per atom

=====

A plane-wave DFT calculation with GGA-PBE was carried out for a relaxed Li3Ac2AlGe4 crystal.

abc: 4.3734 4.3734 10.9267
angles: 90.00 90.00 90.00
Last column: nearest neighbours and their distance in Å.
Space group P-4m2 (No. 115)
Asymmetric unit:
Li: 0.0000 0.0000 0.0000  4 Ge 2.66
Li: 0.0000 0.5000 0.6252  5 Ge 2.58
Ac: 0.0000 0.5000 0.2573  6 Li 3.35-3.56, 8 Ge 3.35-3.44, 2 Al 3.56
Al: 0.5000 0.5000 0.0000  4 Ge 2.66
Ge: 0.0000 0.0000 0.5000  4 Li 2.58
Ge: 0.0000 0.5000 0.8609  3 Li 2.58-2.66, 2 Al 2.66
Ge: 0.5000 0.5000 0.5000  4 Li 2.58

Properties
* energy of formation from the pure elements: -0.59 eV per atom
* final energy: -4.202 eV per atom

=====

A plane-wave DFT calculation with GGA-PBE was carried out for a relaxed Li4Ac2AlGe3 crystal.

abc: 4.4405 4.4405 10.8481
angles: 90.00 90.00 90.00
Last column: nearest neighbours and their distance in Å.
Space group P-4m2 (No. 115)
Asymmetric unit:
Li: 0.0000 0.0000 0.0000  4 Ge 2.63
Li: 0.0000 0.5000 0.3650  3 Ge 2.56-2.66, 2 Al 2.66
Li: 0.5000 0.5000 0.0000  4 Ge 2.63
Ac: 0.0000 0.5000 0.7623  6 Ge 3.35-3.61, 8 Li 3.40-3.43, 2 Al 3.61
Al: 0.5000 0.5000 0.5000  4 Li 2.66
Ge: 0.0000 0.0000 0.5000  4 Li 2.66
Ge: 0.0000 0.5000 0.1293  5 Li 2.56-2.63

Properties
* energy of formation from the pure elements: -0.44 eV per atom
* final energy: -3.786 eV per atom